A geometry-optimized ReBr2Cl structure, computed with PBE-GGA.

As for the total moment: 4.292 μB/cell. Its volume is 24.93 A^3/atom. Its density of states at the Fermi level is 2.0 states/eV per cell. For the raw total energy, the calculation gives -3.19 eV/atom. The uncorrected formation energy is 1216 meV per atom.

Unit cell a=3.328 b=4.551 c=7.279 alpha=64.74 beta=90.00 gamma=90.00
Site moments in Bohr magnetons follow the coordinates.
Atoms (fractional coordinates):
Re: 0.000 0.000 0.500  3.42
Br: 0.000 0.000 0.000  0.04
Br: 0.500 0.500 0.000  0.06
Cl: 0.500 0.500 0.500  0.02